# ZnNi2Ge

A relaxed structure of ZnNi2Ge (PBE-GGA, OQMD).

Calculated values
total moment	0.00	μB per formula unit
V	12.57	Å³ per atom
total DFT energy (no corrections)	-4.2949	eV per atom

Lattice parameters (Å, degrees): 5.859 5.859 5.859 90.00 90.00 90.00
Space group F-43m (No. 216)
Inequivalent atoms, fractional coordinates:
1 Zn 0.000 0.000 0.000 x4
2 Ni 0.000 0.000 0.500 x4
3 Ni 0.250 0.250 0.250 x4
4 Ge 0.250 0.250 0.750 x4

=====

# Zn6Ni7Ge2

A relaxed structure of Zn6Ni7Ge2 (PBE-GGA, OQMD).

Calculated values
total moment	0.00	μB per formula unit
V	12.76	Å³ per atom
total DFT energy (no corrections)	-3.9651	eV per atom

Lattice parameters (Å, degrees): 11.527 11.527 11.527 90.00 90.00 90.00
Space group Fd-3m (No. 227, origin choice 2)
Inequivalent atoms, fractional coordinates:
1 Zn 0.000 0.000 0.000 x16
2 Zn 0.001 0.001 0.749 x32
3 Ni 0.124 0.375 0.875 x48
4 Ni 0.125 0.125 0.125 x8
5 Ge 0.000 0.000 0.500 x16

=====

# Zr2NiGe

A relaxed structure of Zr2NiGe (PBE-GGA, OQMD).

Calculated values
total moment	2.33	μB per formula unit
V	17.59	Å³ per atom
total DFT energy (no corrections)	-6.7501	eV per atom

Lattice parameters (Å, degrees): 6.553 6.553 6.553 90.00 90.00 90.00
Space group F-43m (No. 216)
Inequivalent atoms, fractional coordinates:
1 Zr 0.000 0.000 0.000 x4
2 Zr 0.250 0.250 0.250 x4
3 Ni 0.250 0.250 0.750 x4
4 Ge 0.000 0.000 0.500 x4

=====

# ZrNiGe

A relaxed structure of ZrNiGe (PBE-GGA, OQMD).

Calculated values
total moment	0.00	μB per formula unit
V	15.82	Å³ per atom
total DFT energy (no corrections)	-7.0378	eV per atom

Lattice parameters (Å, degrees): 6.575 3.893 7.417 90.00 90.00 90.00
Space group Pnma (No. 62)
Inequivalent atoms, fractional coordinates:
1 Zr 0.019 0.250 0.188 x4
2 Ni 0.141 0.250 0.562 x4
3 Ge 0.232 0.750 0.384 x4

=====

Number 2 is which compound? Zn6Ni7Ge2